# V4Cr3Os2, optimized geometry, DFT GGA-PBE
# * mass density: 10.53 g/cm3
# * calculated formation energy: -0.246 eV/atom
data_V4Cr3Os2
_cell_length_a 4.183
_cell_length_b 4.183
_cell_length_c 7.703
_cell_angle_alpha 90.05
_cell_angle_beta 90.05
_cell_angle_gamma 60.02
_symmetry_space_group_name_H-M 'P 1'
_symmetry_Int_Tables_number 1
_symmetry_space_group_name_Hall 'P 1'
loop_
_atom_site_label
_atom_site_type_symbol
_atom_site_fract_x
_atom_site_fract_y
_atom_site_fract_z
V1 V 0.000 0.000 0.664
V2 V 0.333 0.333 0.889
V3 V 0.000 0.000 0.336
V4 V 0.667 0.667 0.111
Cr1 Cr 0.667 0.667 0.446
Cr2 Cr 0.000 0.000 0.000
Cr3 Cr 0.333 0.333 0.554
Os1 Os 0.333 0.333 0.224
Os2 Os 0.667 0.667 0.776